# PBE ErCd2Pb3, optimized geometry
# calculated total energy: -3.041 eV/atom
# formation energy from the elements: -0.122 eV/atom
# total magnetization: 0.00 μB per formula unit
# N(E_F): 0.411 states/eV per atom
data_ErCd2Pb3
_space_group_name_H-M_alt 'C m m m'
_space_group_IT_number 65
_space_group_name_Hall '-C 2 2'
_cell_length_a 5.182
_cell_length_b 16.044
_cell_length_c 3.941
_cell_angle_alpha 90.00
_cell_angle_beta 90.00
_cell_angle_gamma 90.00
loop_
_atom_site_label
_atom_site_type_symbol
_atom_site_fract_x
_atom_site_fract_y
_atom_site_fract_z
Er1 Er 0.000 0.000 0.000
Cd1 Cd 0.000 0.343 0.000
Pb1 Pb 0.000 0.176 0.500
Pb2 Pb 0.000 0.500 0.500

# PBE PmPrNdY3, optimized geometry
# calculated total energy: -5.598 eV/atom
# formation energy from the elements: 0.017 eV/atom
# total magnetization: 0.00 μB per formula unit
# N(E_F): 1.519 states/eV per atom
data_PmPrNdY3
_space_group_name_H-M_alt 'C m c m'
_space_group_IT_number 63
_space_group_name_Hall '-C 2c 2'
_cell_length_a 5.125
_cell_length_b 15.406
_cell_length_c 10.257
_cell_angle_alpha 90.00
_cell_angle_beta 90.00
_cell_angle_gamma 90.00
loop_
_atom_site_label
_atom_site_type_symbol
_atom_site_fract_x
_atom_site_fract_y
_atom_site_fract_z
Pm1 Pm 0.000 0.000 0.250
Pr1 Pr 0.000 0.500 0.000
Nd1 Nd 0.000 0.333 0.250
Y1 Y 0.000 0.168 0.000
Y2 Y 0.000 0.333 0.750

# PBE Ho2Al4CdAu3, optimized geometry
# calculated total energy: -4.081 eV/atom
# formation energy from the elements: -0.594 eV/atom
# total magnetization: 0.00 μB per formula unit
# N(E_F): 0.533 states/eV per atom
data_Ho2Al4CdAu3
_space_group_name_H-M_alt 'P -4 m 2'
_space_group_IT_number 115
_space_group_name_Hall 'P -4 -2'
_cell_length_a 4.267
_cell_length_b 4.267
_cell_length_c 11.036
_cell_angle_alpha 90.00
_cell_angle_beta 90.00
_cell_angle_gamma 90.00
loop_
_atom_site_label
_atom_site_type_symbol
_atom_site_fract_x
_atom_site_fract_y
_atom_site_fract_z
Ho1 Ho 0.000 0.500 0.246
Al1 Al 0.000 0.000 0.000
Al2 Al 0.000 0.500 0.645
Al3 Al 0.500 0.500 0.000
Cd1 Cd 0.000 0.000 0.500
Au1 Au 0.000 0.500 0.867
Au2 Au 0.500 0.500 0.500

# PBE CoTc2Br, optimized geometry
# calculated total energy: -6.824 eV/atom
# total magnetization: 2.04 μB per formula unit
# N(E_F): 1.280 states/eV per atom
# formation energy without anion corrections: 214 kJ/mol of formula units
data_CoTc2Br
_space_group_name_H-M_alt 'P 4 m m'
_space_group_IT_number 99
_space_group_name_Hall 'P 4 -2'
_cell_length_a 2.995
_cell_length_b 2.995
_cell_length_c 6.864
_cell_angle_alpha 90.00
_cell_angle_beta 90.00
_cell_angle_gamma 90.00
loop_
_atom_site_label
_atom_site_type_symbol
_atom_site_fract_x
_atom_site_fract_y
_atom_site_fract_z
Co1 Co 0.000 0.000 0.000
Tc1 Tc 0.000 0.000 0.458
Tc2 Tc 0.500 0.500 0.241
Br1 Br 0.500 0.500 0.751